Record 1
The following is a DFT calculation (PBE) of a relaxed structure of PaTcRu2.

Output
* crystal system: trigonal
* energy above the most stable polymorph in this dataset: 202 meV per atom
* space group: R-3m (166)

Unit cell a=4.624 b=4.624 c=4.624 alpha=60.23 beta=60.23 gamma=60.23
Sites, in units of the cell vectors:
Pa 0.000 0.000 0.000
Tc 0.500 0.500 0.500
Ru 0.219 0.219 0.219
Ru 0.781 0.781 0.781


Record 2
The following is a DFT calculation (PBE) of a relaxed structure of PaTcRu.

Output
* crystal system: trigonal
* energy above the most stable polymorph in this dataset: 238 meV per atom
* space group: P3m1 (156)

Unit cell a=4.069 b=4.069 c=4.187 alpha=90.00 beta=90.00 gamma=120.00
Sites, in units of the cell vectors:
Pa 0.000 0.000 0.000
Tc 0.667 0.333 0.581
Ru 0.333 0.667 0.425


Record 3
The following is a DFT calculation (PBE) of a relaxed structure of ThPaTcRu.

Output
* crystal system: cubic
* space group: F-43m (216)

Unit cell a=4.944 b=4.944 c=4.944 alpha=60.00 beta=60.00 gamma=60.00
Sites, in units of the cell vectors:
Th 0.000 0.000 0.000
Pa 0.500 0.500 0.500
Tc 0.250 0.250 0.250
Ru 0.750 0.750 0.750


Record 4
The following is a DFT calculation (PBE) of a relaxed structure of PaTiTcRu.

Output
* crystal system: cubic
* space group: F-43m (216)

Unit cell a=4.635 b=4.635 c=4.635 alpha=60.00 beta=60.00 gamma=60.00
Sites, in units of the cell vectors:
Pa 0.000 0.000 0.000
Ti 0.500 0.500 0.500
Tc 0.750 0.750 0.750
Ru 0.250 0.250 0.250


Record 5
The following is a DFT calculation (PBE) of a relaxed structure of PaVTcRu.

Output
* crystal system: cubic
* space group: F-43m (216)

Unit cell a=4.579 b=4.579 c=4.579 alpha=60.00 beta=60.00 gamma=60.00
Sites, in units of the cell vectors:
Pa 0.000 0.000 0.000
V 0.500 0.500 0.500
Tc 0.750 0.750 0.750
Ru 0.250 0.250 0.250


Record 6
The following is a DFT calculation (PBE) of a relaxed structure of YPaTcRu.

Output
* crystal system: cubic
* space group: F-43m (216)

Unit cell a=4.852 b=4.852 c=4.852 alpha=60.00 beta=60.00 gamma=60.00
Sites, in units of the cell vectors:
Y 0.000 0.000 0.000
Pa 0.500 0.500 0.500
Tc 0.750 0.750 0.750
Ru 0.250 0.250 0.250


Record 7
The following is a DFT calculation (PBE) of a relaxed structure of PaZnTcRu.

Output
* crystal system: orthorhombic
* energy above the most stable polymorph in this dataset: 0 meV per atom
* space group: Pmmm (47)

Unit cell a=3.631 b=4.275 c=4.341 alpha=90.00 beta=90.00 gamma=90.00
Sites, in units of the cell vectors:
Pa 0.000 0.000 0.000
Zn 0.000 0.500 0.500
Tc 0.500 0.000 0.500
Ru 0.500 0.500 0.000


Record 8
The following is a DFT calculation (PBE) of a relaxed structure of PaZnTcRu.

Output
* crystal system: cubic
* energy above the most stable polymorph in this dataset: 100 meV per atom
* space group: F-43m (216)

Unit cell a=4.590 b=4.590 c=4.590 alpha=60.00 beta=60.00 gamma=60.00
Sites, in units of the cell vectors:
Pa 0.000 0.000 0.000
Zn 0.500 0.500 0.500
Tc 0.250 0.250 0.250
Ru 0.750 0.750 0.750


The records above yield total DFT energy (no corrections) values of -9.64; -9.67; -9.33; -9.64; -9.70; -9.17; -7.93; -7.83 eV per atom, respectively.
The records above yield E_form values of -33; 42; -193; -386; -137; -268; -331; -231 meV per atom, respectively.